[1]
The following is a PBE calculation of a geometry-optimized YbMgCd2 structure, from the Alexandria database.

Values from the calculation:
mass density = 7.35 g/cm³
symmetry = Fm-3m (225)
electronic total energy = -1.526 eV/atom

Cell: 5.128 5.128 5.128 Å, 60.00 60.00 60.00°
Each line ends with the local moment (μB).
Atoms (fractional coordinates):
Mg1 0.500 0.500 0.500  0.00
Yb1 0.000 0.000 0.000  -0.23
Cd1 0.250 0.250 0.250  0.00
Cd2 0.750 0.750 0.750  0.00

[2]
The following is a PBE calculation of a geometry-optimized Ac4Nd3Sn4 structure, from the Alexandria database.

Values from the calculation:
mass density = 7.89 g/cm³
symmetry = Immm (71)
electronic total energy = -4.777 eV/atom

Cell: 3.814 10.072 11.313 Å, 116.43 99.70 90.00°
Atoms (fractional coordinates):
Ac1 0.334 0.159 0.669
Ac2 0.666 0.490 0.331
Ac3 0.666 0.841 0.331
Ac4 0.334 0.510 0.669
Nd1 0.088 0.088 0.176
Nd2 0.912 0.912 0.824
Nd3 0.000 0.500 0.000
Sn1 0.281 0.781 0.562
Sn2 0.719 0.219 0.438
Sn3 0.500 0.777 0.000
Sn4 0.500 0.223 0.000

[3]
The following is a PBE calculation of a geometry-optimized Eu3Sb5O12 structure, from the Alexandria database.

Values from the calculation:
mass density = 6.20 g/cm³
symmetry = I-43m (217)
raw formation energy = -1.930 eV per atom
offset from the most stable computed form = 0 meV/atom

Cell: 9.564 9.564 9.564 Å, 109.47 109.47 109.47°
Each line ends with the local moment (μB).
Atoms (fractional coordinates):
Eu1 0.250 0.750 0.500  6.35
Eu2 0.500 0.250 0.750  6.35
Eu3 0.500 0.750 0.250  6.35
Eu4 0.250 0.500 0.750  6.35
Eu5 0.750 0.500 0.250  6.35
Eu6 0.750 0.250 0.500  6.35
Sb1 0.277 0.000 0.277  0.00
Sb2 0.723 0.000 0.723  0.00
Sb3 0.723 0.723 0.000  0.00
Sb4 0.277 0.277 0.000  0.00
Sb5 0.000 0.277 0.277  0.00
Sb6 0.000 0.723 0.723  0.00
Sb7 0.503 0.503 0.503  -0.08
Sb8 0.000 0.000 0.497  -0.08
Sb9 0.497 0.000 0.000  -0.08
Sb10 0.000 0.497 0.000  -0.08
O1 0.513 0.513 0.796  -0.10
O2 0.000 0.283 0.487  -0.10
O3 0.204 0.717 0.717  -0.10
O4 0.717 0.204 0.717  -0.10
O5 0.283 0.000 0.487  -0.10
O6 0.487 0.283 0.000  -0.10
O7 0.283 0.487 0.000  -0.10
O8 0.487 0.000 0.283  -0.10
O9 0.000 0.487 0.283  -0.10
O10 0.796 0.513 0.513  -0.10
O11 0.513 0.796 0.513  -0.10
O12 0.717 0.717 0.204  -0.10
O13 0.470 0.273 0.470  -0.05
O14 0.802 0.000 0.530  -0.05
O15 0.530 0.000 0.802  -0.05
O16 0.802 0.530 0.000  -0.05
O17 0.198 0.198 0.727  -0.05
O18 0.727 0.198 0.198  -0.05
O19 0.000 0.530 0.802  -0.05
O20 0.000 0.802 0.530  -0.05
O21 0.530 0.802 0.000  -0.05
O22 0.470 0.470 0.273  -0.05
O23 0.273 0.470 0.470  -0.05
O24 0.198 0.727 0.198  -0.05

[4]
The following is a PBE calculation of a geometry-optimized Pr6Nd2Dy5 structure, from the Alexandria database.

Values from the calculation:
mass density = 7.13 g/cm³
symmetry = Pbam (55)
electronic total energy = -4.609 eV/atom

Cell: 3.672 11.907 20.733 Å, 90.00 90.00 90.00°
Atoms (fractional coordinates):
Pr1 0.000 0.081 0.366
Pr2 0.000 0.919 0.634
Pr3 0.000 0.581 0.134
Pr4 0.000 0.419 0.866
Pr5 0.500 0.323 0.129
Pr6 0.500 0.677 0.871
Pr7 0.500 0.823 0.371
Pr8 0.500 0.177 0.629
Pr9 0.000 0.559 0.422
Pr10 0.000 0.441 0.578
Pr11 0.000 0.059 0.078
Pr12 0.000 0.941 0.922
Nd1 0.000 0.333 0.286
Nd2 0.000 0.667 0.714
Nd3 0.000 0.833 0.214
Nd4 0.000 0.167 0.786
Dy1 0.500 0.301 0.444
Dy2 0.500 0.699 0.556
Dy3 0.500 0.801 0.056
Dy4 0.500 0.199 0.944
Dy5 0.500 0.593 0.276
Dy6 0.500 0.407 0.724
Dy7 0.500 0.093 0.224
Dy8 0.500 0.907 0.776
Dy9 0.500 0.500 0.000
Dy10 0.500 0.000 0.500

Repeat the first record exactly.
The following is a PBE calculation of a geometry-optimized YbMgCd2 structure, from the Alexandria database.

Values from the calculation:
mass density = 7.35 g/cm³
symmetry = Fm-3m (225)
electronic total energy = -1.526 eV/atom

Cell: 5.128 5.128 5.128 Å, 60.00 60.00 60.00°
Each line ends with the local moment (μB).
Atoms (fractional coordinates):
Mg1 0.500 0.500 0.500  0.00
Yb1 0.000 0.000 0.000  -0.23
Cd1 0.250 0.250 0.250  0.00
Cd2 0.750 0.750 0.750  0.00